1.
Below is crystalline Tb5SbS5 at its relaxed geometry, with properties calculated at the GGA-PBE level.

Summary:
* E_form (uncorrected): -1.83 eV/atom
* M_tot: 0.0 μB per cell
* DOS at the Fermi energy: 0.29 states/eV/atom

Structure (POSCAR):
```
Tb5SbS5
1.0
5.719 0.000 0.000
-2.860 5.912 -2.246
0.000 0.331 8.077
Tb S Sb
5 5 1
Direct
0.167 0.334 0.818
0.171 0.342 0.349
0.500 0.000 0.000
0.829 0.658 0.651
0.833 0.666 0.182
0.673 0.347 0.843
0.666 0.331 0.332
0.327 0.653 0.157
0.000 0.000 0.500
0.334 0.669 0.668
0.000 0.000 0.000
```

2.
Below is crystalline MgPd at its relaxed geometry, with properties calculated at the GGA-PBE level.

Summary:
* M_tot: 0.0 μB per cell
* DOS at the Fermi energy: 0.35 states/eV/atom
* ΔE_f: 0.246 eV per atom

Structure (POSCAR):
```
MgPd
1.0
7.219 0.000 0.000
0.000 7.219 0.000
0.000 0.000 7.219
Pd Mg
6 6
Direct
0.750 0.500 0.000
0.250 0.500 0.000
0.000 0.750 0.500
0.500 0.000 0.250
0.000 0.250 0.500
0.500 0.000 0.750
0.500 0.250 0.000
0.500 0.750 0.000
0.000 0.500 0.250
0.750 0.000 0.500
0.000 0.500 0.750
0.250 0.000 0.500
```

3.
Below is crystalline InFeIr2 at its relaxed geometry, with properties calculated at the GGA-PBE level.

Summary:
* M_tot: 3.9 μB per cell
* DOS at the Fermi energy: 0.66 states/eV/atom
* ΔE_f: -0.009 eV per atom

Structure (POSCAR):
```
InFeIr2
1.0
-1.702 2.002 -1.366
-2.132 -0.443 2.007
2.742 5.084 4.034
Fe Ir In
1 2 1
Direct
0.500 0.500 0.250
0.000 0.000 0.472
0.000 0.000 0.028
0.500 0.500 0.750
```

4.
Below is crystalline KFePb at its relaxed geometry, with properties calculated at the GGA-PBE level.

Summary:
* M_tot: 2.9 μB per cell
* energy above the most stable polymorph in this dataset: 344 meV/atom
* DOS at the Fermi energy: 2.55 states/eV/atom
* ΔE_f: 0.833 eV per atom

Structure (POSCAR):
```
KFePb
1.0
-1.747 -4.693 -0.397
2.135 -3.706 2.635
-2.468 -2.095 3.841
K Pb Fe
1 1 1
Direct
0.000 0.000 0.000
0.500 0.500 0.500
0.750 0.750 0.750
```

5.
Below is crystalline Pm12Mn3N5 at its relaxed geometry, with properties calculated at the GGA-PBE level.

Summary:
* E_form (uncorrected): -0.44 eV/atom
* M_tot: 35.9 μB per cell
* DOS at the Fermi energy: 1.03 states/eV/atom

Structure (POSCAR):
```
Pm12Mn3N5
1.0
13.747 0.000 0.000
-4.582 12.961 0.000
-4.582 -6.480 11.224
Pm N Mn
48 20 12
Direct
0.816 0.912 0.299
0.088 0.904 0.387
0.613 0.017 0.201
0.316 0.799 0.412
0.904 0.816 0.517
0.017 0.404 0.816
0.701 0.113 0.017
0.113 0.701 0.517
0.017 0.613 0.701
0.184 0.088 0.701
0.912 0.096 0.613
0.201 0.684 0.088
0.887 0.299 0.483
0.483 0.684 0.096
0.816 0.904 0.017
0.387 0.404 0.088
0.613 0.596 0.912
0.299 0.887 0.983
0.596 0.983 0.684
0.412 0.299 0.316
0.412 0.113 0.596
0.096 0.912 0.113
0.684 0.201 0.588
0.684 0.483 0.596
0.404 0.017 0.316
0.701 0.588 0.184
0.983 0.596 0.184
0.799 0.483 0.387
0.201 0.517 0.613
0.983 0.387 0.299
0.096 0.184 0.483
0.588 0.887 0.404
0.184 0.096 0.983
0.299 0.412 0.816
0.799 0.316 0.912
0.088 0.184 0.201
0.887 0.588 0.904
0.517 0.316 0.904
0.596 0.613 0.412
0.404 0.387 0.588
0.316 0.517 0.404
0.387 0.983 0.799
0.483 0.799 0.887
0.588 0.701 0.684
0.517 0.201 0.113
0.113 0.412 0.096
0.904 0.088 0.887
0.912 0.816 0.799
0.875 0.625 0.750
0.125 0.750 0.375
0.875 0.250 0.625
0.250 0.875 0.125
0.500 0.500 0.500
0.250 0.375 0.625
0.000 0.000 0.500
0.500 0.500 0.000
0.000 0.500 0.500
0.625 0.750 0.875
0.000 0.000 0.000
0.625 0.875 0.250
0.000 0.500 0.000
0.750 0.125 0.875
0.125 0.375 0.250
0.750 0.625 0.375
0.500 0.000 0.500
0.375 0.250 0.125
0.375 0.125 0.750
0.500 0.000 0.000
0.875 0.125 0.250
0.750 0.375 0.125
0.125 0.250 0.875
0.875 0.750 0.125
0.625 0.250 0.375
0.625 0.375 0.750
0.375 0.750 0.625
0.250 0.125 0.375
0.375 0.625 0.250
0.250 0.625 0.875
0.125 0.875 0.750
0.750 0.875 0.625
```

6.
Below is crystalline La4Pd5Pt2 at its relaxed geometry, with properties calculated at the GGA-PBE level.

Summary:
* M_tot: 0.0 μB per cell
* DOS at the Fermi energy: 0.63 states/eV/atom
* ΔE_f: -0.928 eV per atom

Structure (POSCAR):
```
La4Pd5Pt2
1.0
-1.390 3.771 -0.106
-6.619 -2.389 1.834
1.397 0.753 8.466
Pt Pd La
2 5 4
Direct
0.000 0.095 0.356
0.000 0.905 0.644
0.000 0.841 0.130
0.000 0.159 0.870
0.000 0.500 0.000
0.000 0.480 0.327
0.000 0.520 0.673
0.500 0.755 0.399
0.500 0.235 0.122
0.500 0.245 0.601
0.500 0.765 0.878
```